[1]
The following is a DFT calculation (PBE) of a relaxed structure of Cs2SeBr6N.

Uncorrected formation energy, meV/atom: -388
Energy, hartree per atom: -0.10083
Space group: I4/mmm
Size of the total moment, μB per formula unit: 2.14

Lattice parameters (Å, degrees): 8.3813 8.3813 7.7966 57.49 57.49 90.00
Sites, in units of the cell vectors:
Cs 0.7500 0.2500 0.5000
Cs 0.2500 0.7500 0.5000
Se 0.0000 0.0000 0.0000
Br 0.2874 0.2874 0.4252
Br 0.7126 0.7126 0.5748
Br 0.2197 0.2197 0.0000
Br 0.7803 0.7803 0.0000
Br 0.7803 0.2197 0.0000
Br 0.2197 0.7803 0.0000
N 0.5000 0.5000 0.0000


[2]
The following is a DFT calculation (PBE) of a relaxed structure of ReTc2Hg.

Energy, hartree per atom: -0.29295
Space group: P4mm
Size of the total moment, μB per formula unit: 0.00
Energy of formation from the pure elements, eV per atom: 0.40

Lattice parameters (Å, degrees): 2.8260 2.8260 8.0734 90.00 90.00 90.00
Sites, in units of the cell vectors:
Hg 0.0000 0.0000 0.4982
Re 0.5000 0.5000 0.7770
Tc 0.0000 0.0000 0.0007
Tc 0.5000 0.5000 0.2241


[3]
The following is a DFT calculation (PBE) of a relaxed structure of MnTeP2.

Uncorrected formation energy, meV/atom: 72
Energy, hartree per atom: -0.20988
Space group: Imm2
Size of the total moment, μB per formula unit: 2.25

Lattice parameters (Å, degrees): 7.3095 7.3095 7.3095 153.64 153.36 37.83
Sites, in units of the cell vectors:
Mn 0.2465 0.7465 0.5000
P 0.8859 0.8859 0.0000
P 0.7783 0.2783 0.5000
Te 0.5893 0.5893 0.0000


[4]
The following is a DFT calculation (PBE) of a relaxed structure of PmI2O6.

Uncorrected formation energy, meV/atom: -1010
Energy, hartree per atom: -0.19066
Space group: C2/c
Excess energy over the best structure of this formula in the dataset, eV per atom: 0.005
Size of the total moment, μB per formula unit: 0.00

Lattice parameters (Å, degrees): 7.9528 7.4118 7.4118 98.68 66.40 66.40
Sites, in units of the cell vectors:
Pm 0.2500 0.0860 0.9140
Pm 0.7500 0.9140 0.0860
I 0.3141 0.5462 0.7348
I 0.1859 0.2652 0.4538
I 0.6859 0.4538 0.2652
I 0.8141 0.7348 0.5462
O 0.5490 0.7453 0.5950
O 0.9510 0.4050 0.2547
O 0.4510 0.2547 0.4050
O 0.0490 0.5950 0.7453
O 0.7956 0.8928 0.3779
O 0.7044 0.6221 0.1072
O 0.2044 0.1072 0.6221
O 0.2956 0.3779 0.8928
O 0.1583 0.8090 0.9584
O 0.3417 0.0416 0.1910
O 0.8417 0.1910 0.0416
O 0.6583 0.9584 0.8090


[5]
The following is a DFT calculation (PBE) of a relaxed structure of Mn2HgRu.

Energy, hartree per atom: -0.23066
Space group: I-42d
Size of the total moment, μB per formula unit: 7.70
Energy of formation from the pure elements, eV per atom: 0.70

Lattice parameters (Å, degrees): 7.0999 7.0999 5.7295 51.71 51.71 90.00
Sites, in units of the cell vectors:
Ru 0.5000 0.5000 0.0000
Ru 0.2500 0.7500 0.5000
Mn 0.5953 0.1250 0.2500
Mn 0.1547 0.6250 0.2500
Mn 0.3750 0.4047 0.7500
Mn 0.8750 0.8453 0.7500
Hg 0.0000 0.0000 0.0000
Hg 0.7500 0.2500 0.5000


[6]
The following is a DFT calculation (PBE) of a relaxed structure of Ba2MgGe4Ir4.

Energy, hartree per atom: -0.22027
Space group: Cmcm
Size of the total moment, μB per formula unit: 0.00
Energy of formation from the pure elements, eV per atom: -0.60

Lattice parameters (Å, degrees): 6.6741 6.6741 11.6777 90.00 90.00 114.76
Sites, in units of the cell vectors:
Ba 0.7949 0.2051 0.5000
Ba 0.7949 0.2051 0.0000
Ba 0.2051 0.7949 0.5000
Ba 0.2051 0.7949 0.0000
Mg 0.0156 0.0156 0.7500
Mg 0.9844 0.9844 0.2500
Ge 0.8900 0.5190 0.7500
Ge 0.4810 0.1100 0.2500
Ge 0.1100 0.4810 0.2500
Ge 0.5190 0.8900 0.7500
Ge 0.3292 0.3292 0.5777
Ge 0.6708 0.6708 0.4223
Ge 0.3292 0.3292 0.9223
Ge 0.6708 0.6708 0.0777
Ir 0.2384 0.4937 0.7500
Ir 0.5063 0.7616 0.2500
Ir 0.7616 0.5063 0.2500
Ir 0.4937 0.2384 0.7500
Ir 0.6744 0.6744 0.6294
Ir 0.3256 0.3256 0.3706
Ir 0.6744 0.6744 0.8706
Ir 0.3256 0.3256 0.1294


[7]
The following is a DFT calculation (PBE) of a relaxed structure of V3Ni13.

Energy, hartree per atom: -0.24027
Space group: Amm2
Size of the total moment, μB per formula unit: 0.00
Energy of formation from the pure elements, eV per atom: -0.13

Lattice parameters (Å, degrees): 5.0272 5.0272 7.0919 90.00 90.00 90.98
Sites, in units of the cell vectors:
V 0.0112 0.9888 0.2614
V 0.7181 0.2819 0.0000
V 0.0112 0.9888 0.7386
Ni 0.5068 0.0026 0.2495
Ni 0.5001 0.4999 0.2448
Ni 0.9974 0.4932 0.2495
Ni 0.7606 0.7708 0.0000
Ni 0.2292 0.2394 0.0000
Ni 0.2490 0.7510 0.0000
Ni 0.5068 0.0026 0.7505
Ni 0.5001 0.4999 0.7552
Ni 0.9974 0.4932 0.7505
Ni 0.7550 0.2450 0.5000
Ni 0.7507 0.7448 0.5000
Ni 0.2552 0.2493 0.5000
Ni 0.2511 0.7489 0.5000


[8]
The following is a DFT calculation (PBE) of a relaxed structure of TcBiSe3.

Uncorrected formation energy, meV/atom: 242
Energy, hartree per atom: -0.17265
Space group: Pm-3m
Excess energy over the best structure of this formula in the dataset, eV per atom: 0.000
Size of the total moment, μB per formula unit: 0.00

Lattice parameters (Å, degrees): 4.9210 4.9210 4.9210 90.00 90.00 90.00
Sites, in units of the cell vectors:
Bi 0.5000 0.5000 0.5000
Se 0.0000 0.5000 0.0000
Se 0.0000 0.0000 0.5000
Se 0.5000 0.0000 0.0000
Tc 0.0000 0.0000 0.0000